Record 1
The following is a PBE-GGA calculation of a relaxed structure of TcHgTe2, from Alexandria.

```
data_TcHgTe2
_chemical_formula_sum 'Tc1 Hg1 Te2'
_symmetry_space_group_name_H-M 'P 1'
_symmetry_Int_Tables_number 1
_cell_length_a 10.112
_cell_length_b 10.112
_cell_length_c 10.112
_cell_angle_alpha 20.50
_cell_angle_beta 20.50
_cell_angle_gamma 20.50
loop_
_symmetry_equiv_pos_as_xyz
'x,y,z'
loop_
_atom_site_label
_atom_site_type_symbol
_atom_site_fract_x
_atom_site_fract_y
_atom_site_fract_z
Tc1 Tc 0.000 0.000 0.000
Hg1 Hg 0.500 0.500 0.500
Te1 Te 0.274 0.274 0.274
Te2 Te 0.726 0.726 0.726
```

Properties
**Crystal system**: trigonal
**Magnetization**: 0.280 μB/atom
**Fermi-level density of states**: 2.407 states/eV per cell
**Symmetry**: No. 166
**Formation energy without anion corrections**: 0.02 eV per atom

=====

Record 2
The following is a PBE-GGA calculation of a relaxed structure of TcHgTe2, from Alexandria.

```
data_TcHgTe2
_chemical_formula_sum 'Tc1 Hg1 Te2'
_symmetry_space_group_name_H-M 'P 1'
_symmetry_Int_Tables_number 1
_cell_length_a 4.577
_cell_length_b 4.261
_cell_length_c 6.367
_cell_angle_alpha 90.00
_cell_angle_beta 90.49
_cell_angle_gamma 90.00
loop_
_symmetry_equiv_pos_as_xyz
'x,y,z'
loop_
_atom_site_label
_atom_site_type_symbol
_atom_site_fract_x
_atom_site_fract_y
_atom_site_fract_z
Tc1 Tc 0.000 0.000 0.000
Hg1 Hg 0.005 0.500 0.319
Te1 Te 0.502 0.000 0.206
Te2 Te 0.996 0.500 0.773
```

Properties
**Crystal system**: monoclinic
**Magnetization**: 0.000 μB/atom
**Fermi-level density of states**: 2.648 states/eV per cell
**Symmetry**: No. 6
**Formation energy without anion corrections**: 0.22 eV per atom

=====

Record 3
The following is a PBE-GGA calculation of a relaxed structure of TcHgTe2, from Alexandria.

```
data_TcHgTe2
_chemical_formula_sum 'Tc1 Hg1 Te2'
_symmetry_space_group_name_H-M 'P 1'
_symmetry_Int_Tables_number 1
_cell_length_a 7.013
_cell_length_b 7.013
_cell_length_c 7.013
_cell_angle_alpha 153.53
_cell_angle_beta 139.50
_cell_angle_gamma 49.04
loop_
_symmetry_equiv_pos_as_xyz
'x,y,z'
loop_
_atom_site_label
_atom_site_type_symbol
_atom_site_fract_x
_atom_site_fract_y
_atom_site_fract_z
Tc1 Tc 0.000 0.000 0.000
Hg1 Hg 0.500 0.500 0.000
Te1 Te 0.172 0.672 0.500
Te2 Te 0.828 0.328 0.500
```

Properties
**Crystal system**: orthorhombic
**Magnetization**: 0.000 μB/atom
**Fermi-level density of states**: 3.984 states/eV per cell
**Symmetry**: No. 71
**Formation energy without anion corrections**: 0.19 eV per atom

=====

Record 4
The following is a PBE-GGA calculation of a relaxed structure of Tc2HgTe, from Alexandria.

```
data_Tc2HgTe
_chemical_formula_sum 'Tc2 Hg1 Te1'
_symmetry_space_group_name_H-M 'P 1'
_symmetry_Int_Tables_number 1
_cell_length_a 10.403
_cell_length_b 10.403
_cell_length_c 10.403
_cell_angle_alpha 16.70
_cell_angle_beta 16.70
_cell_angle_gamma 16.70
loop_
_symmetry_equiv_pos_as_xyz
'x,y,z'
loop_
_atom_site_label
_atom_site_type_symbol
_atom_site_fract_x
_atom_site_fract_y
_atom_site_fract_z
Tc1 Tc 0.000 0.000 0.000
Tc2 Tc 0.272 0.272 0.272
Hg1 Hg 0.524 0.524 0.524
Te1 Te 0.741 0.741 0.741
```

Properties
**Excess energy over the best structure of this formula in the dataset**: 0.121 eV/atom
**Crystal system**: trigonal
**Magnetization**: 0.000 μB/atom
**Fermi-level density of states**: 1.861 states/eV per cell
**Symmetry**: No. 160
**Formation energy without anion corrections**: 0.39 eV per atom

=====

Record 5
The following is a PBE-GGA calculation of a relaxed structure of Tc2HgTe, from Alexandria.

```
data_Tc2HgTe
_chemical_formula_sum 'Tc2 Hg1 Te1'
_symmetry_space_group_name_H-M 'P 1'
_symmetry_Int_Tables_number 1
_cell_length_a 8.725
_cell_length_b 8.725
_cell_length_c 8.725
_cell_angle_alpha 20.74
_cell_angle_beta 20.74
_cell_angle_gamma 20.74
loop_
_symmetry_equiv_pos_as_xyz
'x,y,z'
loop_
_atom_site_label
_atom_site_type_symbol
_atom_site_fract_x
_atom_site_fract_y
_atom_site_fract_z
Tc1 Tc 0.244 0.244 0.244
Tc2 Tc 0.756 0.756 0.756
Hg1 Hg 0.000 0.000 0.000
Te1 Te 0.500 0.500 0.500
```

Properties
**Excess energy over the best structure of this formula in the dataset**: 0.296 eV/atom
**Crystal system**: trigonal
**Magnetization**: 0.000 μB/atom
**Fermi-level density of states**: 5.203 states/eV per cell
**Symmetry**: No. 166
**Formation energy without anion corrections**: 0.57 eV per atom

=====

Record 6
The following is a PBE-GGA calculation of a relaxed structure of Tc4HgTe, from Alexandria.

```
data_Tc4HgTe
_chemical_formula_sum 'Tc4 Hg1 Te1'
_symmetry_space_group_name_H-M 'P 1'
_symmetry_Int_Tables_number 1
_cell_length_a 5.308
_cell_length_b 5.308
_cell_length_c 5.308
_cell_angle_alpha 60.00
_cell_angle_beta 60.00
_cell_angle_gamma 60.00
loop_
_symmetry_equiv_pos_as_xyz
'x,y,z'
loop_
_atom_site_label
_atom_site_type_symbol
_atom_site_fract_x
_atom_site_fract_y
_atom_site_fract_z
Tc1 Tc 0.125 0.125 0.125
Tc2 Tc 0.125 0.125 0.626
Tc3 Tc 0.125 0.626 0.125
Tc4 Tc 0.626 0.125 0.125
Hg1 Hg 0.500 0.500 0.500
Te1 Te 0.750 0.750 0.750
```

Properties
**Crystal system**: cubic
**Magnetization**: 0.000 μB/atom
**Fermi-level density of states**: 5.984 states/eV per cell
**Symmetry**: No. 216
**Formation energy without anion corrections**: 0.65 eV per atom

=====

Record 7
The following is a PBE-GGA calculation of a relaxed structure of TcHgTe2, from Alexandria.

```
data_TcHgTe2
_chemical_formula_sum 'Tc1 Hg1 Te2'
_symmetry_space_group_name_H-M 'P 1'
_symmetry_Int_Tables_number 1
_cell_length_a 10.512
_cell_length_b 10.512
_cell_length_c 10.512
_cell_angle_alpha 162.19
_cell_angle_beta 161.90
_cell_angle_gamma 25.50
loop_
_symmetry_equiv_pos_as_xyz
'x,y,z'
loop_
_atom_site_label
_atom_site_type_symbol
_atom_site_fract_x
_atom_site_fract_y
_atom_site_fract_z
Tc1 Tc 0.000 0.000 0.000
Hg1 Hg 0.760 0.260 0.500
Te1 Te 0.103 0.603 0.500
Te2 Te 0.429 0.429 0.000
```

Properties
**Crystal system**: orthorhombic
**Magnetization**: 0.000 μB/atom
**Fermi-level density of states**: 2.691 states/eV per cell
**Symmetry**: No. 44
**Formation energy without anion corrections**: 0.01 eV per atom

=====

Record 8
The following is a PBE-GGA calculation of a relaxed structure of Tc2HgTe, from Alexandria.

```
data_Tc2HgTe
_chemical_formula_sum 'Tc2 Hg1 Te1'
_symmetry_space_group_name_H-M 'P 1'
_symmetry_Int_Tables_number 1
_cell_length_a 3.107
_cell_length_b 3.107
_cell_length_c 8.856
_cell_angle_alpha 90.00
_cell_angle_beta 90.00
_cell_angle_gamma 118.14
loop_
_symmetry_equiv_pos_as_xyz
'x,y,z'
loop_
_atom_site_label
_atom_site_type_symbol
_atom_site_fract_x
_atom_site_fract_y
_atom_site_fract_z
Tc1 Tc 0.000 0.000 0.231
Tc2 Tc 0.000 0.000 0.769
Hg1 Hg 0.500 0.500 0.500
Te1 Te 0.500 0.500 0.000
```

Properties
**Excess energy over the best structure of this formula in the dataset**: 0.572 eV/atom
**Crystal system**: orthorhombic
**Magnetization**: 0.000 μB/atom
**Fermi-level density of states**: 3.243 states/eV per cell
**Symmetry**: No. 65
**Formation energy without anion corrections**: 0.84 eV per atom

=====

Record 9
The following is a PBE-GGA calculation of a relaxed structure of Tc2HgTe, from Alexandria.

```
data_Tc2HgTe
_chemical_formula_sum 'Tc2 Hg1 Te1'
_symmetry_space_group_name_H-M 'P 1'
_symmetry_Int_Tables_number 1
_cell_length_a 4.429
_cell_length_b 4.429
_cell_length_c 5.805
_cell_angle_alpha 100.73
_cell_angle_beta 100.73
_cell_angle_gamma 41.88
loop_
_symmetry_equiv_pos_as_xyz
'x,y,z'
loop_
_atom_site_label
_atom_site_type_symbol
_atom_site_fract_x
_atom_site_fract_y
_atom_site_fract_z
Tc1 Tc 0.246 0.246 0.215
Tc2 Tc 0.754 0.754 0.785
Hg1 Hg 0.000 0.000 0.500
Te1 Te 0.500 0.500 0.000
```

Properties
**Excess energy over the best structure of this formula in the dataset**: 0.283 eV/atom
**Crystal system**: monoclinic
**Magnetization**: 0.000 μB/atom
**Fermi-level density of states**: 4.141 states/eV per cell
**Symmetry**: No. 12
**Formation energy without anion corrections**: 0.55 eV per atom

=====

Record 10
The following is a PBE-GGA calculation of a relaxed structure of Tc2HgTe, from Alexandria.

```
data_Tc2HgTe
_chemical_formula_sum 'Tc2 Hg1 Te1'
_symmetry_space_group_name_H-M 'P 1'
_symmetry_Int_Tables_number 1
_cell_length_a 6.179
_cell_length_b 6.179
_cell_length_c 6.179
_cell_angle_alpha 151.60
_cell_angle_beta 135.60
_cell_angle_gamma 53.55
loop_
_symmetry_equiv_pos_as_xyz
'x,y,z'
loop_
_atom_site_label
_atom_site_type_symbol
_atom_site_fract_x
_atom_site_fract_y
_atom_site_fract_z
Tc1 Tc 0.000 0.000 0.000
Tc2 Tc 0.813 0.313 0.500
Hg1 Hg 0.498 0.498 0.000
Te1 Te 0.221 0.721 0.500
```

Properties
**Excess energy over the best structure of this formula in the dataset**: 0.298 eV/atom
**Crystal system**: orthorhombic
**Magnetization**: 0.000 μB/atom
**Fermi-level density of states**: 4.488 states/eV per cell
**Symmetry**: No. 44
**Formation energy without anion corrections**: 0.57 eV per atom